Record 1
Density functional theory data (PBE-GGA) for a relaxed structure of LiTeMoAs.

Output
**Polymorph energy (0 for the lowest one)**: 2.13 eV per formula unit
**Magnetic moment**: 1.6 μB/f.u.
**Total energy**: -18.47 eV for the cell shown

a = 4.681 Å, b = 4.681 Å, c = 4.681 Å
α = 60.00°, β = 60.00°, γ = 60.00°
Atoms (fractional coordinates):
1 Li 0.000 0.000 0.000
2 Te 0.250 0.250 0.250
3 Mo 0.750 0.750 0.750
4 As 0.500 0.500 0.500


Record 2
Density functional theory data (PBE-GGA) for a relaxed structure of LiMoAsW.

Output
**Polymorph energy (0 for the lowest one)**: 0.00 eV per formula unit
**Magnetic moment**: 0.0 μB/f.u.
**Total energy**: -29.89 eV for the cell shown

a = 4.349 Å, b = 4.349 Å, c = 4.349 Å
α = 60.00°, β = 60.00°, γ = 60.00°
Atoms (fractional coordinates):
1 Li 0.000 0.000 0.000
2 Mo 0.500 0.500 0.500
3 As 0.750 0.750 0.750
4 W 0.250 0.250 0.250


Record 3
Density functional theory data (PBE-GGA) for a relaxed structure of LiMoAsW.

Output
**Polymorph energy (0 for the lowest one)**: 1.39 eV per formula unit
**Magnetic moment**: 0.0 μB/f.u.
**Total energy**: -28.50 eV for the cell shown

a = 4.312 Å, b = 4.312 Å, c = 4.312 Å
α = 60.00°, β = 60.00°, γ = 60.00°
Atoms (fractional coordinates):
1 Li 0.000 0.000 0.000
2 Mo 0.750 0.750 0.750
3 As 0.500 0.500 0.500
4 W 0.250 0.250 0.250


Record 4
Density functional theory data (PBE-GGA) for a relaxed structure of NaLiNi2As2.

Output
**Magnetic moment**: 0.0 μB/f.u.
**Total energy**: -26.16 eV for the cell shown

a = 3.857 Å, b = 3.857 Å, c = 6.511 Å
α = 90.00°, β = 90.00°, γ = 90.00°
Atoms (fractional coordinates):
1 Na 0.000 0.000 0.000
2 Li 0.500 0.500 0.328
3 Ni 0.000 0.500 0.640
4 Ni 0.500 0.000 0.640
5 As 0.000 0.000 0.429
6 As 0.500 0.500 0.852


Record 5
Density functional theory data (PBE-GGA) for a relaxed structure of Li2NbAsO6.

Output
**Magnetic moment**: 0.0 μB/f.u.
**Total energy**: -273.04 eV for the cell shown

a = 8.486 Å, b = 8.486 Å, c = 7.219 Å
α = 103.97°, β = 103.97°, γ = 75.05°
Atoms (fractional coordinates):
1 Li 0.005 0.995 0.750
2 Li 0.057 0.655 0.394
3 Li 0.345 0.943 0.106
4 Li 0.408 0.592 0.250
5 Li 0.592 0.408 0.750
6 Li 0.655 0.057 0.894
7 Li 0.943 0.345 0.606
8 Li 0.995 0.005 0.250
9 Nb 0.284 0.303 0.391
10 Nb 0.303 0.284 0.891
11 Nb 0.697 0.716 0.109
12 Nb 0.716 0.697 0.609
13 As 0.076 0.700 0.955
14 As 0.300 0.924 0.545
15 As 0.700 0.076 0.455
16 As 0.924 0.300 0.045
17 O 0.031 0.369 0.273
18 O 0.035 0.251 0.860
19 O 0.131 0.856 0.544
20 O 0.144 0.869 0.956
21 O 0.200 0.321 0.631
22 O 0.229 0.529 0.013
23 O 0.251 0.035 0.360
24 O 0.302 0.514 0.415
25 O 0.321 0.200 0.131
26 O 0.369 0.031 0.773
27 O 0.471 0.771 0.487
28 O 0.486 0.698 0.085
29 O 0.514 0.302 0.915
30 O 0.529 0.229 0.513
31 O 0.631 0.969 0.227
32 O 0.679 0.800 0.869
33 O 0.698 0.486 0.585
34 O 0.749 0.965 0.640
35 O 0.771 0.471 0.987
36 O 0.800 0.679 0.369
37 O 0.856 0.131 0.044
38 O 0.869 0.144 0.456
39 O 0.965 0.749 0.140
40 O 0.969 0.631 0.727


Record 6
Density functional theory data (PBE-GGA) for a relaxed structure of LiNbTcAs.

Output
**Polymorph energy (0 for the lowest one)**: 1.42 eV per formula unit
**Magnetic moment**: 0.1 μB/f.u.
**Total energy**: -26.82 eV for the cell shown

a = 4.333 Å, b = 4.333 Å, c = 4.333 Å
α = 60.00°, β = 60.00°, γ = 60.00°
Atoms (fractional coordinates):
1 Li 0.000 0.000 0.000
2 Nb 0.250 0.250 0.250
3 Tc 0.750 0.750 0.750
4 As 0.500 0.500 0.500


Record 7
Density functional theory data (PBE-GGA) for a relaxed structure of LiNbTcAs.

Output
**Polymorph energy (0 for the lowest one)**: 0.00 eV per formula unit
**Magnetic moment**: 0.0 μB/f.u.
**Total energy**: -28.23 eV for the cell shown

a = 4.346 Å, b = 4.346 Å, c = 4.346 Å
α = 60.00°, β = 60.00°, γ = 60.00°
Atoms (fractional coordinates):
1 Li 0.000 0.000 0.000
2 Nb 0.250 0.250 0.250
3 Tc 0.500 0.500 0.500
4 As 0.750 0.750 0.750


Record 8
Density functional theory data (PBE-GGA) for a relaxed structure of LiNdAs2.

Output
**Magnetic moment**: 0.0 μB/f.u.
**Total energy**: -40.01 eV for the cell shown

a = 3.969 Å, b = 3.969 Å, c = 10.668 Å
α = 90.00°, β = 90.00°, γ = 90.00°
Atoms (fractional coordinates):
1 Li 0.250 0.750 0.000
2 Li 0.750 0.250 0.000
3 Nd 0.250 0.250 0.270
4 Nd 0.750 0.750 0.730
5 As 0.250 0.250 0.841
6 As 0.250 0.750 0.500
7 As 0.750 0.250 0.500
8 As 0.750 0.750 0.159


Record 9
Density functional theory data (PBE-GGA) for a relaxed structure of LiNdAs.

Output
**Polymorph energy (0 for the lowest one)**: 0.00 eV per formula unit
**Magnetic moment**: 0.0 μB/f.u.
**Total energy**: -13.48 eV for the cell shown

a = 4.459 Å, b = 4.459 Å, c = 4.459 Å
α = 60.00°, β = 60.00°, γ = 60.00°
Atoms (fractional coordinates):
1 Li 0.000 0.000 0.000
2 Nd 0.250 0.250 0.250
3 As 0.750 0.750 0.750


Record 10
Density functional theory data (PBE-GGA) for a relaxed structure of LiNdAs.

Output
**Polymorph energy (0 for the lowest one)**: 0.90 eV per formula unit
**Magnetic moment**: 0.0 μB/f.u.
**Total energy**: -12.57 eV for the cell shown

a = 4.819 Å, b = 4.819 Å, c = 4.819 Å
α = 60.00°, β = 60.00°, γ = 60.00°
Atoms (fractional coordinates):
1 Li 0.000 0.000 0.000
2 Nd 0.750 0.750 0.750
3 As 0.500 0.500 0.500


Record 11
Density functional theory data (PBE-GGA) for a relaxed structure of Li2NdNiAs2.

Output
**Magnetic moment**: 0.7 μB/f.u.
**Total energy**: -27.67 eV for the cell shown

a = 4.156 Å, b = 4.156 Å, c = 6.676 Å
α = 90.00°, β = 90.00°, γ = 120.00°
Atoms (fractional coordinates):
1 Li 0.333 0.667 0.143
2 Li 0.667 0.333 0.857
3 Nd 0.000 0.000 0.500
4 Ni 0.000 0.000 0.000
5 As 0.333 0.667 0.772
6 As 0.667 0.333 0.228


Record 12
Density functional theory data (PBE-GGA) for a relaxed structure of LiNdAsO.

Output
**Polymorph energy (0 for the lowest one)**: 2.02 eV per formula unit
**Magnetic moment**: 0.7 μB/f.u.
**Total energy**: -42.81 eV for the cell shown

a = 5.950 Å, b = 5.950 Å, c = 4.717 Å
α = 90.00°, β = 90.00°, γ = 90.00°
Atoms (fractional coordinates):
1 Li 0.250 0.250 0.002
2 Li 0.750 0.750 0.998
3 Nd 0.250 0.750 0.500
4 Nd 0.750 0.250 0.500
5 As 0.250 0.250 0.502
6 As 0.750 0.750 0.498
7 O 0.250 0.750 0.000
8 O 0.750 0.250 0.000


Record 13
Density functional theory data (PBE-GGA) for a relaxed structure of LiNdAsO.

Output
**Polymorph energy (0 for the lowest one)**: 0.00 eV per formula unit
**Magnetic moment**: 0.0 μB/f.u.
**Total energy**: -46.85 eV for the cell shown

a = 3.919 Å, b = 3.919 Å, c = 9.914 Å
α = 90.00°, β = 90.00°, γ = 90.00°
Atoms (fractional coordinates):
1 Li 0.250 0.750 0.000
2 Li 0.750 0.250 0.000
3 Nd 0.250 0.250 0.375
4 Nd 0.750 0.750 0.625
5 As 0.250 0.250 0.820
6 As 0.750 0.750 0.180
7 O 0.250 0.750 0.500
8 O 0.750 0.250 0.500


Record 14
Density functional theory data (PBE-GGA) for a relaxed structure of LiNdAsO.

Output
**Polymorph energy (0 for the lowest one)**: 5.71 eV per formula unit
**Magnetic moment**: 1.1 μB/f.u.
**Total energy**: -35.44 eV for the cell shown

a = 4.535 Å, b = 4.535 Å, c = 7.440 Å
α = 90.00°, β = 90.00°, γ = 90.00°
Atoms (fractional coordinates):
1 Li 0.250 0.250 0.066
2 Li 0.750 0.750 0.934
3 Nd 0.250 0.750 0.500
4 Nd 0.750 0.250 0.500
5 As 0.250 0.250 0.740
6 As 0.750 0.750 0.260
7 O 0.250 0.750 0.000
8 O 0.750 0.250 0.000


Record 15
Density functional theory data (PBE-GGA) for a relaxed structure of LiNdAsO.

Output
**Polymorph energy (0 for the lowest one)**: 0.55 eV per formula unit
**Magnetic moment**: 0.0 μB/f.u.
**Total energy**: -45.75 eV for the cell shown

a = 3.697 Å, b = 7.623 Å, c = 5.993 Å
α = 90.00°, β = 90.00°, γ = 90.00°
Atoms (fractional coordinates):
1 Li 0.000 0.077 0.000
2 Li 0.000 0.923 0.500
3 Nd 0.500 0.288 0.370
4 Nd 0.500 0.712 0.870
5 As 0.500 0.321 0.867
6 As 0.500 0.679 0.367
7 O 0.000 0.132 0.324
8 O 0.000 0.868 0.824


Record 16
Density functional theory data (PBE-GGA) for a relaxed structure of LiNdAsO.

Output
**Polymorph energy (0 for the lowest one)**: 0.57 eV per formula unit
**Magnetic moment**: 0.0 μB/f.u.
**Total energy**: -45.71 eV for the cell shown

a = 3.870 Å, b = 6.765 Å, c = 5.718 Å
α = 90.00°, β = 90.00°, γ = 90.00°
Atoms (fractional coordinates):
1 Li 0.000 0.182 0.000
2 Li 0.000 0.818 0.500
3 Nd 0.500 0.227 0.551
4 Nd 0.500 0.773 0.051
5 As 0.000 0.486 0.277
6 As 0.000 0.514 0.777
7 O 0.500 0.083 0.913
8 O 0.500 0.917 0.413


Record 17
Density functional theory data (PBE-GGA) for a relaxed structure of LiNi3As5.

Output
**Magnetic moment**: 0.0 μB/f.u.
**Total energy**: -43.04 eV for the cell shown

a = 4.962 Å, b = 4.962 Å, c = 7.479 Å
α = 90.00°, β = 90.00°, γ = 120.00°
Atoms (fractional coordinates):
1 Li 0.000 0.000 0.000
2 Ni 0.000 0.500 0.500
3 Ni 0.500 0.000 0.500
4 Ni 0.500 0.500 0.500
5 As 0.000 0.000 0.500
6 As 0.333 0.667 0.230
7 As 0.333 0.667 0.770
8 As 0.667 0.333 0.230
9 As 0.667 0.333 0.770


Record 18
Density functional theory data (PBE-GGA) for a relaxed structure of Li2Ni3As2.

Output
**Magnetic moment**: 0.0 μB/f.u.
**Total energy**: -32.80 eV for the cell shown

a = 6.812 Å, b = 6.812 Å, c = 6.812 Å
α = 34.12°, β = 34.12°, γ = 34.12°
Atoms (fractional coordinates):
1 Li 0.000 0.000 0.000
2 Li 0.474 0.474 0.474
3 Ni 0.351 0.351 0.351
4 Ni 0.607 0.607 0.607
5 Ni 0.864 0.864 0.864
6 As 0.228 0.228 0.228
7 As 0.734 0.734 0.734


Record 19
Density functional theory data (PBE-GGA) for a relaxed structure of LiNiAsOs.

Output
**Magnetic moment**: 0.9 μB/f.u.
**Total energy**: -21.77 eV for the cell shown

a = 4.187 Å, b = 4.187 Å, c = 4.187 Å
α = 60.00°, β = 60.00°, γ = 60.00°
Atoms (fractional coordinates):
1 Li 0.000 0.000 0.000
2 Ni 0.500 0.500 0.500
3 As 0.250 0.250 0.250
4 Os 0.750 0.750 0.750


Record 20
Density functional theory data (PBE-GGA) for a relaxed structure of Li4NiAs2Pt.

Output
**Magnetic moment**: 0.0 μB/f.u.
**Total energy**: -33.19 eV for the cell shown

a = 4.156 Å, b = 4.156 Å, c = 5.981 Å
α = 90.00°, β = 90.00°, γ = 90.00°
Atoms (fractional coordinates):
1 Li 0.000 0.000 0.000
2 Li 0.000 0.500 0.241
3 Li 0.500 0.000 0.759
4 Li 0.500 0.500 0.500
5 Ni 0.500 0.500 0.000
6 As 0.000 0.500 0.770
7 As 0.500 0.000 0.230
8 Pt 0.000 0.000 0.500


Theoretical density (computed, kg/m3): 6992 10326 10589 5094 3856 7873 7806 5949 5991 4743 6097 4815 5282 5255 4761 5372 5805 6364 10582 6934